(1)
## ZrAg3S (PBEsol)

Data for crystalline ZrAg3S at its relaxed geometry.

Summary:
Space-group type: No. 221
Uncorrected formation energy in meV per atom: 1580

a = 5.1207 Å, b = 5.1207 Å, c = 5.1207 Å
α = 90.00°, β = 90.00°, γ = 90.00°
Positions (direct):
Ag (0.5000, 0.0000, 0.0000)
Ag (0.0000, 0.5000, 0.0000)
Ag (0.0000, 0.0000, 0.5000)
Zr (0.0000, 0.0000, 0.0000)
S (0.5000, 0.5000, 0.5000)



(2)
## Ag2HgPt (PBEsol)

Data for crystalline Ag2HgPt at its relaxed geometry.

Summary:
Space-group type: No. 123
Energy relative to the elements in eV per atom: -0.04

a = 4.0169 Å, b = 4.0169 Å, c = 4.1661 Å
α = 90.00°, β = 90.00°, γ = 90.00°
Positions (direct):
Ag (0.0000, 0.5000, 0.0000)
Ag (0.5000, 0.0000, 0.0000)
Hg (0.5000, 0.5000, 0.5000)
Pt (0.0000, 0.0000, 0.5000)



(3)
## SiH2F (PBEsol)

Data for crystalline SiH2F at its relaxed geometry.

Summary:
Space-group type: No. 225
ΔE to the lowest computed polymorph in eV/atom: 0.451

a = 3.5121 Å, b = 3.5121 Å, c = 3.5121 Å
α = 60.00°, β = 60.00°, γ = 60.00°
Positions (direct):
Si (0.5000, 0.5000, 0.5000)
H (0.7500, 0.7500, 0.7500)
H (0.2500, 0.2500, 0.2500)
F (0.0000, 0.0000, 0.0000)



(4)
## Co2SbI (PBEsol)

Data for crystalline Co2SbI at its relaxed geometry.

Summary:
Space-group type: No. 122
Uncorrected formation energy in meV per atom: 470

a = 5.6323 Å, b = 5.6323 Å, c = 6.8024 Å
α = 114.46°, β = 114.46°, γ = 90.00°
Positions (direct):
Co (0.8780, 0.3750, 0.2500)
Co (0.3720, 0.8750, 0.2500)
Co (0.1250, 0.1220, 0.7500)
Co (0.6250, 0.6280, 0.7500)
I (0.2500, 0.7500, 0.5000)
I (0.0000, 0.0000, 0.0000)
Sb (0.5000, 0.5000, 0.0000)
Sb (0.7500, 0.2500, 0.5000)



(5)
## Li2MnCr3O8 (PBEsol)

Data for crystalline Li2MnCr3O8 at its relaxed geometry.

Summary:
Space-group type: No. 12
Uncorrected formation energy in meV per atom: -1920
ΔE to the lowest computed polymorph in eV/atom: 0.058

a = 5.7662 Å, b = 5.7474 Å, c = 5.8370 Å
α = 60.42°, β = 60.40°, γ = 59.89°
Positions (direct):
Li (0.5000, 0.5000, 0.0000)
Li (0.0000, 0.5000, 0.0000)
Cr (0.5000, 0.5000, 0.5000)
Cr (0.0000, 0.0000, 0.5000)
Cr (0.5000, 0.0000, 0.5000)
O (0.7412, 0.7285, 0.2956)
O (0.7672, 0.7521, 0.7134)
O (0.2588, 0.2715, 0.7044)
O (0.7355, 0.2411, 0.2879)
O (0.2347, 0.7285, 0.2956)
O (0.2328, 0.2479, 0.2866)
O (0.2645, 0.7589, 0.7121)
O (0.7653, 0.2715, 0.7044)
Mn (0.0000, 0.5000, 0.5000)



(6)
## SbPO4 (PBEsol)

Data for crystalline SbPO4 at its relaxed geometry.

Summary:
Space-group type: No. 11
Uncorrected formation energy in meV per atom: -1906
ΔE to the lowest computed polymorph in eV/atom: 0.000

a = 4.7418 Å, b = 5.0416 Å, c = 6.8215 Å
α = 90.00°, β = 90.00°, γ = 97.13°
Positions (direct):
O (0.3907, 0.5583, 0.7500)
O (0.1661, 0.2241, 0.0715)
O (0.8339, 0.7759, 0.5715)
O (0.8118, 0.3218, 0.7500)
O (0.8339, 0.7759, 0.9285)
O (0.6093, 0.4417, 0.2500)
O (0.1882, 0.6782, 0.2500)
O (0.1661, 0.2241, 0.4285)
P (0.7208, 0.6098, 0.7500)
P (0.2792, 0.3902, 0.2500)
Sb (0.1850, 0.1658, 0.7500)
Sb (0.8150, 0.8342, 0.2500)



(7)
## CoTcIr2 (PBEsol)

Data for crystalline CoTcIr2 at its relaxed geometry.

Summary:
Space-group type: No. 139
Energy relative to the elements in eV per atom: -0.08
ΔE to the lowest computed polymorph in eV/atom: 0.017

a = 3.7588 Å, b = 3.7588 Å, c = 4.5584 Å
α = 114.35°, β = 114.35°, γ = 90.00°
Positions (direct):
Co (0.5000, 0.5000, 0.0000)
Tc (0.0000, 0.0000, 0.0000)
Ir (0.7500, 0.2500, 0.5000)
Ir (0.2500, 0.7500, 0.5000)



(8)
## CdTcSnGe2 (PBEsol)

Data for crystalline CdTcSnGe2 at its relaxed geometry.

Summary:
Space-group type: No. 123
Energy relative to the elements in eV per atom: 1.65

a = 5.1623 Å, b = 5.1623 Å, c = 5.1813 Å
α = 90.00°, β = 90.00°, γ = 90.00°
Positions (direct):
Ge (0.5000, 0.0000, 0.0000)
Ge (0.0000, 0.5000, 0.0000)
Sn (0.0000, 0.0000, 0.0000)
Tc (0.5000, 0.5000, 0.5000)
Cd (0.0000, 0.0000, 0.5000)



(9)
## MoAsW3 (PBEsol)

Data for crystalline MoAsW3 at its relaxed geometry.

Summary:
Space-group type: No. 221
Energy relative to the elements in eV per atom: 2.26

a = 4.6883 Å, b = 4.6883 Å, c = 4.6883 Å
α = 90.00°, β = 90.00°, γ = 90.00°
Positions (direct):
W (0.0000, 0.0000, 0.5000)
W (0.0000, 0.5000, 0.0000)
W (0.5000, 0.0000, 0.0000)
Mo (0.0000, 0.0000, 0.0000)
As (0.5000, 0.5000, 0.5000)



(10)
## In2HgSb (PBEsol)

Data for crystalline In2HgSb at its relaxed geometry.

Summary:
Space-group type: No. 119
Uncorrected formation energy in meV per atom: 32
ΔE to the lowest computed polymorph in eV/atom: 0.041

a = 4.8683 Å, b = 5.4856 Å, c = 4.8683 Å
α = 63.66°, β = 90.00°, γ = 116.34°
Positions (direct):
Hg (0.7500, 0.5000, 0.7500)
In (0.2500, 0.5000, 0.2500)
In (0.0000, 0.0000, 0.0000)
Sb (0.5000, 0.0000, 0.5000)



(11)
## ZrRhSe2N (PBEsol)

Data for crystalline ZrRhSe2N at its relaxed geometry.

Summary:
Space-group type: No. 123
Uncorrected formation energy in meV per atom: -24

a = 3.5896 Å, b = 4.9976 Å, c = 4.9976 Å
α = 90.00°, β = 90.00°, γ = 90.00°
Positions (direct):
Zr (0.5000, 0.5000, 0.5000)
Se (0.0000, 0.0000, 0.5000)
Se (0.0000, 0.5000, 0.0000)
N (0.5000, 0.0000, 0.0000)
Rh (0.0000, 0.0000, 0.0000)



(12)
## ZrH2Rh (PBEsol)

Data for crystalline ZrH2Rh at its relaxed geometry.

Summary:
Space-group type: No. 225

a = 3.8375 Å, b = 3.8375 Å, c = 3.8375 Å
α = 60.00°, β = 60.00°, γ = 60.00°
Positions (direct):
Rh (0.5000, 0.5000, 0.5000)
Zr (0.0000, 0.0000, 0.0000)
H (0.7500, 0.7500, 0.7500)
H (0.2500, 0.2500, 0.2500)



Q: Which energy values were calculated for the entries above? A: -15.51 -14.32 -13.22 -39.84 -113.29 -85.56 -38.98 -18.33 -47.01 -10.96 -33.57 -24.25, in eV/cell.
Q: Which total magnetic moment values were calculated for the entries above? A: 0.890 0.000 0.001 0.009 11.002 0.000 0.578 3.667 0.000 0.000 0.361 0.000, in μB/f.u..